A plane-wave DFT calculation with PBE was carried out for LiPr2H after structural relaxation.

Cell: 3.6284 3.6284 26.2570 Å, 90.00 90.00 120.00°
Space group R3m (No. 160, hexagonal axes)
One atom of each set of equivalent atoms:
Li (0.0000, 0.0000, 0.0000) (multiplicity 3)
Pr (0.0000, 0.0000, 0.5554) (multiplicity 3)
Pr (0.0000, 0.0000, 0.7766) (multiplicity 3)
H (0.0000, 0.0000, 0.1659) (multiplicity 3)

Output
calculated total energy: -3.78 eV/atom
total magnetic moment: 0.0 μB per cell
distance to the lowest polymorph of the same formula: 0 meV/atom

A plane-wave DFT calculation with PBE was carried out for SmDy4Al5 after structural relaxation.

Cell: 3.608 3.608 18.142 Å, 90.00 90.00 90.00°
Space group P4/mmm (No. 123)
One atom of each set of equivalent atoms:
Sm (0.000, 0.000, 0.000) (multiplicity 1)
Dy (0.000, 0.000, 0.204) (multiplicity 2)
Dy (0.000, 0.000, 0.401) (multiplicity 2)
Al (0.500, 0.500, 0.105) (multiplicity 2)
Al (0.500, 0.500, 0.302) (multiplicity 2)
Al (0.500, 0.500, 0.500) (multiplicity 1)

Output
calculated total energy: -4.58 eV/atom
total magnetic moment: 0.0 μB per cell
E_form: -391 meV per atom